VASP calculation (PBE-GGA) on a relaxed Ho6AgTe5 crystal.

Results
SG   C2/m
DOS(E_F)   4.62 states/eV per cell
ΔE_f (raw)   -1106 meV/atom

Unit cell a=7.5025 b=7.5025 c=7.4952 alpha=99.63 beta=99.63 gamma=119.94
With the nearest neighbours (Å) after each atom.
Fractional coordinates of all 12 atoms:
Ho (0.0764, 0.3915, 0.7343)  1 Ag 2.88, 5 Te 3.07-3.15
Ho (0.2313, 0.2313, 0.2551)  1 Ag 2.92, 5 Te 3.08-3.21
Ho (0.3915, 0.0764, 0.7343)  1 Ag 2.88, 5 Te 3.07-3.15
Ho (0.6085, 0.9236, 0.2657)  1 Ag 2.88, 5 Te 3.07-3.15
Ho (0.7687, 0.7687, 0.7449)  1 Ag 2.92, 5 Te 3.08-3.21
Ho (0.9236, 0.6085, 0.2657)  1 Ag 2.88, 5 Te 3.07-3.15
Ag (0.0000, 0.0000, 0.5000)  6 Ho 2.88-2.92
Te (0.1774, 0.8226, 0.0000)  6 Ho 3.08-3.15
Te (0.3365, 0.6635, 0.5000)  6 Ho 3.07-3.08
Te (0.5000, 0.5000, 0.0000)  6 Ho 3.08-3.21
Te (0.6635, 0.3365, 0.5000)  6 Ho 3.07-3.08
Te (0.8226, 0.1774, 0.0000)  6 Ho 3.08-3.15